A plane-wave DFT calculation with PBE+U was carried out for a geometry-optimized Ca2MoRuO6 structure.

```
Ca2MoRuO6
1.0
5.585 0.000 0.000
0.000 5.585 0.000
0.000 0.000 4.070
Ca Mo Ru O
2 1 1 6
direct
0.000 0.500 0.000 Ca
0.500 0.000 0.000 Ca
0.000 0.000 0.571 Mo
0.500 0.500 0.580 Ru
0.000 0.000 0.077 O
0.250 0.250 0.596 O
0.250 0.750 0.596 O
0.500 0.500 0.083 O
0.750 0.250 0.596 O
0.750 0.750 0.596 O
```

Properties
uncorrected energy	-69.22	eV per cell
calculated volume	127.0	Å³/f.u.